# ZrBeBr2

A relaxed structure of ZrBeBr2 (PBE, the Alexandria database).

**Electronic total energy**: -3.739 eV per atom
**Space-group type**: Pmmm
**Formation energy (no corrections)**: 0.166 eV per atom

Cell lengths 3.347, 5.587, 4.408 Å; angles 90.00, 90.00, 90.00 degrees
Fractional coordinates of all 4 atoms:
1 Be 0.000 0.500 0.500
2 Br 0.000 0.000 0.000
3 Br 0.500 0.500 0.000
4 Zr 0.500 0.000 0.500

=====

# ZrBeBr2

A relaxed structure of ZrBeBr2 (PBE, the Alexandria database).

**Electronic total energy**: -4.286 eV per atom
**Space-group type**: C2/m
**Formation energy (no corrections)**: -0.381 eV per atom

Cell lengths 8.187, 8.187, 4.226 Å; angles 82.61, 82.61, 23.49 degrees
Fractional coordinates of all 4 atoms:
1 Br 0.386 0.386 0.570
2 Br 0.114 0.114 0.930
3 Be 0.250 0.250 0.250
4 Zr 0.750 0.750 0.750

=====

Table of relative energy among the computed polymorphs (meV per atom), in record order: 678.9; 132.5